Entry 1:
{
  "formula": "NiHg3C",
  "functional": "PBE",
  "state": "optimized geometry",
  "ef_ev_per_atom": 1.337,
  "e_above_lowest_polymorph_kj_per_mol_atoms": 0.0,
  "final_energy_ev_per_atom": -1.845,
  "rho_g_cm3": 11.5,
  "m_tot_mub_per_fu": 0.000,
  "lattice": [[4.5966, 0.0000, 0.0000], [0.0000, 4.5966, 0.0000], [0.0000, 0.0000, 4.5966]],
  "species": ["Ni", "Hg", "Hg", "Hg", "C"],
  "fractional_positions": [[0.0000, 0.0000, 0.0000], [0.0000, 0.5000, 0.5000], [0.5000, 0.0000, 0.5000], [0.5000, 0.5000, 0.0000], [0.5000, 0.5000, 0.5000]]
}


Entry 2:
{
  "formula": "CrW4Se8",
  "functional": "PBE",
  "state": "optimized geometry",
  "raw_formation_energy_ev_per_atom": -0.150,
  "final_energy_ev_per_atom": -7.020,
  "rho_g_cm3": 8.6,
  "m_tot_mub_per_fu": 4.899,
  "lattice": [[3.3137, 1.9132, 7.2372], [-3.3137, 1.9132, 7.2372], [0.0000, -3.8264, 7.2372]],
  "species": ["Cr", "W", "W", "W", "W", "Se", "Se", "Se", "Se", "Se", "Se", "Se", "Se"],
  "fractional_positions": [[0.0000, 0.0000, 0.0000], [0.0000, 0.0000, 0.5000], [0.0000, 0.5000, 0.0000], [0.5000, 0.0000, 0.0000], [0.5000, 0.5000, 0.5000], [0.2453, 0.7476, 0.7476], [0.2458, 0.2458, 0.2458], [0.2524, 0.2524, 0.7547], [0.2524, 0.7547, 0.2524], [0.7476, 0.2453, 0.7476], [0.7476, 0.7476, 0.2453], [0.7542, 0.7542, 0.7542], [0.7547, 0.2524, 0.2524]]
}